# 1
The following is a GGA-PBE calculation of a relaxed TaCr2 crystal, from the Alexandria database.

Properties
**Total magnetization**: 0.00 μB per formula unit
**E_tot**: -10.26 eV per atom
**Energy above the most stable polymorph in this dataset**: 236.2 meV/atom
**Energy of formation from the pure elements**: 0.3 eV/f.u.
**Mass density**: 11.33 g/cm3

```
TaCr2
1.0
4.196 0.000 0.000
-2.098 3.634 0.000
0.000 0.000 2.738
Ta Cr
1 2
Direct
0.000 0.000 0.000
0.333 0.667 0.654
0.667 0.333 0.346
```

=====

# 2
The following is a GGA-PBE calculation of a relaxed TaCr crystal, from the Alexandria database.

Properties
**Total magnetization**: 0.00 μB per formula unit
**E_tot**: -10.12 eV per atom
**Energy of formation from the pure elements**: 1.2 eV/f.u.
**Mass density**: 11.82 g/cm3

```
TaCr
1.0
3.849 0.000 0.000
-1.924 3.333 0.000
0.000 0.000 10.203
Ta Cr
4 4
Direct
0.333 0.667 0.087
0.333 0.667 0.413
0.667 0.333 0.587
0.667 0.333 0.913
0.000 0.000 0.250
0.000 0.000 0.750
0.333 0.667 0.750
0.667 0.333 0.250
```

=====

# 3
The following is a GGA-PBE calculation of a relaxed Ta11Cr5 crystal, from the Alexandria database.

Properties
**Total magnetization**: 0.00 μB per formula unit
**E_tot**: -11.06 eV per atom
**Energy of formation from the pure elements**: 1.5 eV/f.u.
**Mass density**: 14.35 g/cm3

```
Ta11Cr5
1.0
6.379 0.000 0.000
0.000 6.367 0.000
-0.118 0.000 6.414
Ta Cr
11 5
Direct
0.000 0.000 0.000
0.002 0.500 0.474
0.265 0.246 0.744
0.265 0.754 0.744
0.269 0.244 0.236
0.269 0.756 0.236
0.521 0.500 0.483
0.529 0.500 0.003
0.757 0.246 0.745
0.757 0.754 0.745
0.996 0.000 0.479
0.013 0.500 0.991
0.514 0.000 0.486
0.519 0.000 0.003
0.756 0.242 0.238
0.756 0.758 0.238
```

=====

# 4
The following is a GGA-PBE calculation of a relaxed Ta5Cr crystal, from the Alexandria database.

Properties
**Total magnetization**: 0.00 μB per formula unit
**E_tot**: -11.45 eV per atom
**Energy above the most stable polymorph in this dataset**: 9.1 meV/atom
**Energy of formation from the pure elements**: 0.2 eV/f.u.
**Mass density**: 15.38 g/cm3

```
Ta5Cr
1.0
2.315 -6.865 0.000
2.315 6.865 0.000
0.000 0.000 3.250
Ta Cr
5 1
Direct
0.000 0.000 0.000
0.169 0.831 0.500
0.344 0.656 0.000
0.656 0.344 0.000
0.831 0.169 0.500
0.500 0.500 0.500
```

=====

# 5
The following is a GGA-PBE calculation of a relaxed TaCr crystal, from the Alexandria database.

Properties
**Total magnetization**: 0.00 μB per formula unit
**E_tot**: -10.71 eV per atom
**Energy of formation from the pure elements**: 0.1 eV/f.u.
**Mass density**: 12.92 g/cm3

```
TaCr
1.0
4.970 -1.540 0.000
4.970 1.540 0.000
-1.939 0.000 5.869
Ta Cr
3 3
Direct
0.000 0.000 0.000
0.004 0.004 0.517
0.686 0.686 0.349
0.335 0.335 0.164
0.335 0.335 0.684
0.685 0.685 0.851
```

=====

# 6
The following is a GGA-PBE calculation of a relaxed TaCr crystal, from the Alexandria database.

Properties
**Total magnetization**: 0.00 μB per formula unit
**E_tot**: -10.60 eV per atom
**Energy of formation from the pure elements**: 0.3 eV/f.u.
**Mass density**: 12.91 g/cm3

```
TaCr
1.0
0.000 3.106 3.106
3.106 0.000 3.106
3.106 3.106 0.000
Ta Cr
2 2
Direct
0.125 0.125 0.125
0.875 0.875 0.875
0.375 0.375 0.375
0.625 0.625 0.625
```

=====

# 7
The following is a GGA-PBE calculation of a relaxed TaCr crystal, from the Alexandria database.

Properties
**Total magnetization**: 0.00 μB per formula unit
**E_tot**: -10.17 eV per atom
**Energy of formation from the pure elements**: 1.1 eV/f.u.
**Mass density**: 12.19 g/cm3

```
TaCr
1.0
0.000 4.121 4.876
3.158 0.000 4.876
3.158 4.121 0.000
Ta Cr
4 4
Direct
0.066 0.684 0.066
0.316 0.934 0.316
0.684 0.066 0.684
0.934 0.316 0.934
0.205 0.545 0.545
0.455 0.795 0.795
0.545 0.205 0.205
0.795 0.455 0.455
```

=====

# 8
The following is a GGA-PBE calculation of a relaxed TaCr2 crystal, from the Alexandria database.

Properties
**Total magnetization**: 0.00 μB per formula unit
**E_tot**: -9.92 eV per atom
**Energy above the most stable polymorph in this dataset**: 574.4 meV/atom
**Energy of formation from the pure elements**: 1.3 eV/f.u.
**Mass density**: 10.71 g/cm3

```
TaCr2
1.0
-1.583 1.583 8.812
1.583 -1.583 8.812
1.583 1.583 -8.812
Ta Cr
2 4
Direct
0.375 0.625 0.750
0.625 0.375 0.250
0.044 0.794 0.250
0.206 0.956 0.250
0.794 0.044 0.750
0.956 0.206 0.750
```

=====

# 9
The following is a GGA-PBE calculation of a relaxed TaCr crystal, from the Alexandria database.

Properties
**Total magnetization**: 1.50 μB per formula unit
**E_tot**: -8.12 eV per atom
**Energy of formation from the pure elements**: 5.2 eV/f.u.
**Mass density**: 6.95 g/cm3

```
TaCr
1.0
6.939 0.000 0.000
0.000 6.939 0.000
0.000 0.000 6.939
Ta Cr
6 6
Direct
0.000 0.250 0.500
0.000 0.750 0.500
0.250 0.500 0.000
0.500 0.000 0.250
0.500 0.000 0.750
0.750 0.500 0.000
0.000 0.500 0.250
0.000 0.500 0.750
0.250 0.000 0.500
0.500 0.250 0.000
0.500 0.750 0.000
0.750 0.000 0.500
```

=====

# 10
The following is a GGA-PBE calculation of a relaxed TaCr2 crystal, from the Alexandria database.

Properties
**Total magnetization**: 0.00 μB per formula unit
**E_tot**: -10.49 eV per atom
**Energy above the most stable polymorph in this dataset**: 4.2 meV/atom
**Energy of formation from the pure elements**: -0.4 eV/f.u.
**Mass density**: 11.33 g/cm3

```
TaCr2
1.0
4.896 0.000 0.000
-2.448 4.240 0.000
0.000 0.000 8.046
Ta Cr
4 8
Direct
0.333 0.667 0.060
0.333 0.667 0.440
0.667 0.333 0.560
0.667 0.333 0.940
0.000 0.000 0.000
0.000 0.000 0.500
0.170 0.340 0.750
0.170 0.830 0.750
0.340 0.170 0.250
0.660 0.830 0.750
0.830 0.170 0.250
0.830 0.660 0.250
```

=====

# 11
The following is a GGA-PBE calculation of a relaxed TaCr5 crystal, from the Alexandria database.

Properties
**Total magnetization**: 0.00 μB per formula unit
**E_tot**: -9.96 eV per atom
**Energy above the most stable polymorph in this dataset**: 9.6 meV/atom
**Energy of formation from the pure elements**: 0.2 eV/f.u.
**Mass density**: 9.57 g/cm3

```
TaCr5
1.0
1.481 -6.190 0.000
1.481 6.190 0.000
0.000 0.000 4.172
Ta Cr
1 5
Direct
0.000 0.000 0.000
0.170 0.830 0.500
0.325 0.675 0.000
0.500 0.500 0.500
0.675 0.325 0.000
0.830 0.170 0.500
```

=====

# 12
The following is a GGA-PBE calculation of a relaxed TaCr2 crystal, from the Alexandria database.

Properties
**Total magnetization**: 0.00 μB per formula unit
**E_tot**: -10.36 eV per atom
**Energy above the most stable polymorph in this dataset**: 136.8 meV/atom
**Energy of formation from the pure elements**: 0.0 eV/f.u.
**Mass density**: 11.39 g/cm3

```
TaCr2
1.0
1.512 -6.393 0.000
1.512 6.393 0.000
0.000 0.000 4.299
Ta Cr
2 4
Direct
0.086 0.914 0.750
0.914 0.086 0.250
0.244 0.756 0.250
0.408 0.592 0.750
0.592 0.408 0.250
0.756 0.244 0.750
```

=====

# 13
The following is a GGA-PBE calculation of a relaxed TaCr crystal, from the Alexandria database.

Properties
**Total magnetization**: 1.99 μB per formula unit
**E_tot**: -9.98 eV per atom
**Energy of formation from the pure elements**: 1.5 eV/f.u.
**Mass density**: 11.68 g/cm3

```
TaCr
1.0
2.852 0.000 0.000
-1.426 2.470 0.000
0.000 0.000 9.403
Ta Cr
2 2
Direct
0.333 0.667 0.000
0.667 0.333 0.500
0.333 0.667 0.734
0.667 0.333 0.234
```

=====

# 14
The following is a GGA-PBE calculation of a relaxed TaCr3 crystal, from the Alexandria database.

Properties
**Total magnetization**: 0.01 μB per formula unit
**E_tot**: -10.12 eV per atom
**Energy of formation from the pure elements**: 0.2 eV/f.u.
**Mass density**: 10.50 g/cm3

```
TaCr3
1.0
4.214 0.000 0.000
0.000 4.214 0.000
0.000 0.000 3.000
Ta Cr
1 3
Direct
0.000 0.000 0.000
0.000 0.500 0.500
0.500 0.000 0.500
0.500 0.500 0.000
```

=====

# 15
The following is a GGA-PBE calculation of a relaxed Ta2Cr3 crystal, from the Alexandria database.

Properties
**Total magnetization**: 0.00 μB per formula unit
**E_tot**: -10.31 eV per atom
**Energy above the most stable polymorph in this dataset**: 0.0 meV/atom
**Energy of formation from the pure elements**: 1.0 eV/f.u.
**Mass density**: 11.67 g/cm3

```
Ta2Cr3
1.0
0.000 6.095 2.636
4.585 0.000 2.636
4.585 6.095 0.000
Ta Cr
4 6
Direct
0.221 0.779 0.385
0.635 0.865 0.471
0.779 0.221 0.615
0.865 0.635 0.029
0.189 0.803 0.048
0.202 0.289 0.061
0.289 0.202 0.447
0.296 0.296 0.704
0.546 0.546 0.954
0.803 0.189 0.961
```

=====

# 16
The following is a GGA-PBE calculation of a relaxed TaCr2 crystal, from the Alexandria database.

Properties
**Total magnetization**: 0.41 μB per formula unit
**E_tot**: -9.98 eV per atom
**Energy above the most stable polymorph in this dataset**: 520.1 meV/atom
**Energy of formation from the pure elements**: 1.2 eV/f.u.
**Mass density**: 11.11 g/cm3

```
TaCr2
1.0
4.493 0.000 0.000
-2.246 3.891 0.000
0.000 0.000 4.871
Ta Cr
2 4
Direct
0.333 0.667 0.250
0.667 0.333 0.750
0.000 0.000 0.000
0.000 0.000 0.500
0.333 0.667 0.750
0.667 0.333 0.250
```

=====

# 17
The following is a GGA-PBE calculation of a relaxed TaCr crystal, from the Alexandria database.

Properties
**Total magnetization**: 0.00 μB per formula unit
**E_tot**: -10.62 eV per atom
**Energy of formation from the pure elements**: 0.2 eV/f.u.
**Mass density**: 12.83 g/cm3

```
TaCr
1.0
1.571 -2.276 0.000
1.571 2.276 0.000
0.000 0.000 8.434
Ta Cr
2 2
Direct
0.250 0.750 0.855
0.750 0.250 0.145
0.250 0.750 0.397
0.750 0.250 0.603
```

=====

# 18
The following is a GGA-PBE calculation of a relaxed TaCr3 crystal, from the Alexandria database.

Properties
**Total magnetization**: 0.00 μB per formula unit
**E_tot**: -9.95 eV per atom
**Energy of formation from the pure elements**: 0.9 eV/f.u.
**Mass density**: 10.26 g/cm3

```
TaCr3
1.0
4.778 0.000 0.000
0.000 4.778 0.000
0.000 0.000 4.778
Ta Cr
2 6
Direct
0.000 0.000 0.000
0.500 0.500 0.500
0.000 0.250 0.500
0.000 0.750 0.500
0.250 0.500 0.000
0.500 0.000 0.250
0.500 0.000 0.750
0.750 0.500 0.000
```

=====

# 19
The following is a GGA-PBE calculation of a relaxed TaCr5 crystal, from the Alexandria database.

Properties
**Total magnetization**: 0.60 μB per formula unit
**E_tot**: -9.97 eV per atom
**Energy above the most stable polymorph in this dataset**: 0.0 meV/atom
**Energy of formation from the pure elements**: 0.2 eV/f.u.
**Mass density**: 9.49 g/cm3

```
TaCr5
1.0
2.941 0.000 0.000
0.000 2.941 0.000
0.000 0.000 8.918
Ta Cr
1 5
Direct
0.000 0.000 0.000
0.000 0.000 0.340
0.000 0.000 0.660
0.500 0.500 0.185
0.500 0.500 0.500
0.500 0.500 0.815
```

=====

# 20
The following is a GGA-PBE calculation of a relaxed TaCr3 crystal, from the Alexandria database.

Properties
**Total magnetization**: 0.00 μB per formula unit
**E_tot**: -10.14 eV per atom
**Energy of formation from the pure elements**: 0.2 eV/f.u.
**Mass density**: 10.57 g/cm3

```
TaCr3
1.0
-2.109 2.109 2.977
2.109 -2.109 2.977
2.109 2.109 -2.977
Ta Cr
1 3
Direct
0.000 0.000 0.000
0.250 0.750 0.500
0.500 0.500 0.000
0.750 0.250 0.500
```